Li2AgIr (GGA-PBE, optimized geometry); symmetry = Cmmm (65); crystal system = orthorhombic; calculated density = 8.78 Mg/m³; formation energy from the elements = -0.1380 eV/atom; total magnetic moment = 0.00 μB/atom; VASP energy = -0.1478 Ha/atom
1.0
1.457 -2.279 0.000
1.457 2.279 0.000
0.000 0.000 8.937
Li Ag Ir
2 1 1
direct
0.000 0.000 0.232
0.000 0.000 0.768
0.500 0.500 0.500
0.500 0.500 0.000

---

DyBeZn (GGA-PBE, optimized geometry); symmetry = P-6m2 (187); crystal system = hexagonal; calculated density = 7.13 Mg/m³; formation energy from the elements = -0.1470 eV/atom; total magnetic moment = 0.00 μB/atom; VASP energy = -0.1230 Ha/atom; distance to the lowest polymorph of the same formula = 0.029 eV/atom
1.0
4.232 0.000 0.000
-2.116 3.665 0.000
0.000 0.000 3.557
Dy Be Zn
1 1 1
direct
0.000 0.000 0.000
0.667 0.333 0.500
0.333 0.667 0.500

---

Pr4SnPI2 (GGA-PBE, optimized geometry); symmetry = P2/m (10); crystal system = monoclinic; calculated density = 6.10 Mg/m³; total magnetic moment = 0.00 μB/atom; formation energy without anion corrections = -1.12 eV/atom; VASP energy = -0.1865 Ha/atom
1.0
7.708 0.000 0.000
0.000 4.382 0.000
-2.535 0.000 7.794
Pr Sn P I
4 1 1 2
direct
0.212 0.000 0.196
0.240 0.500 0.795
0.760 0.500 0.205
0.788 0.000 0.804
0.500 0.000 0.000
0.000 0.500 0.000
0.000 0.000 0.500
0.500 0.500 0.500